# 1
Here is a geometry-optimized Cd2Hg7Pb3 structure from Alexandria via LeMat-Bulk. Energies are from PBE.

Cell lengths 5.9746, 3.2894, 16.6345 Å; angles 90.00, 97.01, 90.00 degrees
Closest atoms and distances in Å follow each position.
Sites, in units of the cell vectors:
Cd  0.0508  0.0000  0.1644  4 Hg 3.08-3.13, 2 Cd 3.29, 4 Pb 3.39-3.43
Cd  0.9492  0.0000  0.8356  4 Hg 3.08-3.13, 2 Cd 3.29, 4 Pb 3.39-3.43
Hg  0.0717  0.5000  0.3253  2 Cd 3.13, 6 Hg 3.29-3.42, 2 Pb 3.41
Hg  0.2499  0.0000  0.9996  4 Hg 2.99-3.29, 2 Cd 3.08-3.12
Hg  0.4244  0.0000  0.6617  8 Hg 3.23-3.42, 3 Pb 3.32-3.46
Hg  0.5000  0.5000  0.5000  6 Hg 3.23-3.29, 4 Pb 3.41
Hg  0.5756  0.0000  0.3383  8 Hg 3.23-3.42, 3 Pb 3.32-3.46
Hg  0.7501  0.0000  0.0004  4 Hg 2.99-3.29, 2 Cd 3.08-3.12
Hg  0.9283  0.5000  0.6747  2 Cd 3.13, 6 Hg 3.29-3.42, 2 Pb 3.41
Pb  0.0000  0.0000  0.5000  2 Pb 3.29, 10 Hg 3.41-3.46
Pb  0.4539  0.5000  0.8363  2 Pb 3.29, 6 Hg 3.32-3.52, 4 Cd 3.39-3.43
Pb  0.5461  0.5000  0.1637  2 Pb 3.29, 6 Hg 3.32-3.52, 4 Cd 3.39-3.43

Distance to the lowest polymorph of the same formula, meV per atom: 0

---

# 2
Here is a geometry-optimized Cd4Hg3Pb4 structure from Alexandria via LeMat-Bulk. Energies are from PBE.

Cell lengths 3.6273, 3.6275, 22.5396 Å; angles 85.85, 85.84, 89.75 degrees
Closest atoms and distances in Å follow each position.
Sites, in units of the cell vectors:
Cd  0.0417  0.0415  0.4189  4 Hg 3.13-3.17, 4 Pb 3.30-3.31
Cd  0.3213  0.3219  0.8499  4 Hg 3.05-3.14, 3 Pb 3.25-3.33
Cd  0.6787  0.6781  0.1501  4 Hg 3.05-3.14, 3 Pb 3.25-3.33
Cd  0.9583  0.9585  0.5811  4 Hg 3.13-3.17, 4 Pb 3.30-3.31
Hg  0.1337  0.1327  0.2272  4 Cd 3.05-3.14, 3 Pb 3.37-3.39
Hg  0.5000  0.5000  0.5000  8 Cd 3.13-3.17
Hg  0.8663  0.8673  0.7728  4 Cd 3.05-3.14, 3 Pb 3.37-3.39
Pb  0.2440  0.2440  0.0552  4 Cd 3.25-3.43, 7 Pb 3.43-3.63
Pb  0.4181  0.4188  0.6738  4 Cd 3.30-3.31, 4 Hg 3.37-3.42, 4 Pb 3.63
Pb  0.5819  0.5812  0.3262  4 Cd 3.30-3.31, 4 Hg 3.37-3.42, 4 Pb 3.63
Pb  0.7560  0.7560  0.9448  4 Cd 3.25-3.43, 7 Pb 3.43-3.63

---

# 3
Here is a geometry-optimized Cd3HgPb structure from Alexandria via LeMat-Bulk. Energies are from PBE.

Cell lengths 7.4789, 7.4789, 7.4789 Å; angles 145.92, 145.92, 48.97 degrees
Closest atoms and distances in Å follow each position.
Sites, in units of the cell vectors:
Cd  0.0000  0.0000  0.0000  1 Hg 2.81, 4 Cd 2.96
Cd  0.3544  0.8544  0.5000  6 Cd 2.96-3.10, 2 Hg 2.98
Cd  0.8544  0.3544  0.5000  6 Cd 2.96-3.10, 2 Hg 2.98
Hg  0.2061  0.2061  0.0000  5 Cd 2.81-2.98
Pb  0.6011  0.6011  0.0000  4 Cd 3.39, 4 Hg 3.41

Distance to the lowest polymorph of the same formula, meV per atom: 5

---

# 4
Here is a geometry-optimized Cd2Hg8Pb3 structure from Alexandria via LeMat-Bulk. Energies are from PBE.

Cell lengths 3.4385, 10.3911, 10.9505 Å; angles 112.48, 92.60, 93.58 degrees
Closest atoms and distances in Å follow each position.
Sites, in units of the cell vectors:
Cd  0.1406  0.4716  0.1491  7 Hg 3.00-3.30
Cd  0.8594  0.5284  0.8509  7 Hg 3.00-3.30
Hg  0.0598  0.8378  0.9491  1 Cd 3.00, 2 Hg 3.18-3.19, 2 Pb 3.27-3.34
Hg  0.1453  0.3194  0.5709  6 Hg 3.09-3.44, 1 Pb 3.11, 1 Cd 3.24
Hg  0.3102  0.2841  0.8510  3 Cd 3.06-3.20, 1 Pb 3.17, 2 Hg 3.19-3.26
Hg  0.3861  0.6352  0.6578  6 Hg 3.09-3.44, 2 Cd 3.17-3.30, 1 Pb 3.22
Hg  0.6139  0.3648  0.3422  6 Hg 3.09-3.44, 2 Cd 3.17-3.30, 1 Pb 3.22
Hg  0.6898  0.7159  0.1490  3 Cd 3.06-3.20, 1 Pb 3.17, 2 Hg 3.19-3.26
Hg  0.8547  0.6806  0.4291  6 Hg 3.09-3.44, 1 Pb 3.11, 1 Cd 3.24
Hg  0.9402  0.1622  0.0509  1 Cd 3.00, 2 Hg 3.18-3.19, 2 Pb 3.27-3.34
Pb  0.0000  0.0000  0.5000  2 Hg 3.11, 6 Pb 3.40-3.44
Pb  0.4751  0.0299  0.2434  5 Hg 3.17-3.45, 4 Pb 3.40-3.44
Pb  0.5249  0.9701  0.7566  5 Hg 3.17-3.45, 4 Pb 3.40-3.44

---

# 5
Here is a geometry-optimized Cd2Hg2Pb structure from Alexandria via LeMat-Bulk. Energies are from PBE.

Cell lengths 7.7160, 7.7160, 7.7160 Å; angles 147.49, 147.49, 46.64 degrees
Closest atoms and distances in Å follow each position.
Sites, in units of the cell vectors:
Cd  0.2500  0.7500  0.5000  4 Hg 3.00, 4 Cd 3.05
Cd  0.7500  0.2500  0.5000  4 Hg 3.00, 4 Cd 3.05
Hg  0.1028  0.1028  0.0000  1 Hg 2.91, 4 Cd 3.00
Hg  0.8972  0.8972  0.0000  1 Hg 2.91, 4 Cd 3.00
Pb  0.5000  0.5000  0.0000  8 Hg 3.38

Distance to the lowest polymorph of the same formula, meV per atom: 28

---

# 6
Here is a geometry-optimized CdHg2Pb8 structure from Alexandria via LeMat-Bulk. Energies are from PBE.

Cell lengths 8.2655, 8.2655, 10.8943 Å; angles 130.29, 130.29, 39.70 degrees
Closest atoms and distances in Å follow each position.
Sites, in units of the cell vectors:
Cd  0.0000  0.0000  0.0000  8 Pb 3.18-3.41, 2 Hg 3.56
Hg  0.3147  0.3147  0.3260  6 Pb 3.09-3.37
Hg  0.6853  0.6853  0.6740  6 Pb 3.09-3.37
Pb  0.1565  0.1565  0.4207  1 Hg 3.26, 5 Pb 3.36-3.52, 1 Cd 3.41
Pb  0.1679  0.1679  0.9305  1 Cd 3.18, 1 Hg 3.20, 5 Pb 3.37-3.51
Pb  0.3500  0.3500  0.8482  2 Cd 3.28, 2 Hg 3.37, 5 Pb 3.39-3.59
Pb  0.4941  0.4941  0.2833  2 Hg 3.09-3.13, 4 Pb 3.36-3.40
Pb  0.5059  0.5059  0.7167  2 Hg 3.09-3.13, 4 Pb 3.36-3.40
Pb  0.6500  0.6500  0.1518  2 Cd 3.28, 2 Hg 3.37, 5 Pb 3.39-3.59
Pb  0.8321  0.8321  0.0695  1 Cd 3.18, 1 Hg 3.20, 5 Pb 3.37-3.51
Pb  0.8435  0.8435  0.5793  1 Hg 3.26, 5 Pb 3.36-3.52, 1 Cd 3.41

Distance to the lowest polymorph of the same formula, meV per atom: 0

---

no.,ΔH_f (0 K) (eV per atom),magnetic moment (μB per formula unit),Fermi-level density of states (states/eV/cell)
1,0.038,0.0,4.47
2,0.032,0.0,3.84
3,0.063,0.0,1.89
4,0.030,0.0,3.79
5,0.070,0.0,2.42
6,0.072,0.0,4.04